BaAcHS2: optimized geometry, PBE.

Cell and atoms, written as extended XYZ:
```
10
Lattice="4.321 0.000 0.000 0.000 4.321 0.000 0.000 0.000 14.783" Properties=species:S:1:pos:R:3 pbc="T T T"
Ba 0.000 2.161 5.858
Ba 2.161 0.000 8.925
S 0.000 2.161 1.381
S 2.161 0.000 4.557
S 0.000 2.161 10.226
S 2.161 0.000 13.402
H 0.000 0.000 7.392
H 2.161 2.161 7.392
Ac 2.161 0.000 1.854
Ac 0.000 2.161 12.929
```

## Properties
Symmetry ... P4/nmm
Fermi-level density of states ... 1.5 states/eV/f.u.
Final energy ... -5.1162 eV per atom